1.
An optimized crystal structure of HfTa2V, computed with PBE.

Values from the calculation:
- total magnetic moment (μB/atom) = 0.00
- energy of formation from the pure elements (meV per atom) = 87.7
- E (eV per atom) = -10.607
- energy relative to the lowest polymorph listed for this composition (kJ/mol of atoms) = 0.0

Lattice parameters (Å, degrees): 3.2264 3.2264 6.9306 90.00 90.00 90.00
Space group P4/mmm (No. 123)
Asymmetric unit:
Hf1 0.0000 0.0000 0.0000
Ta1 0.5000 0.5000 0.2828
V1 0.0000 0.0000 0.5000

***

2.
An optimized crystal structure of Hf2Ta2V, computed with PBE.

Values from the calculation:
- total magnetic moment (μB/atom) = 0.00
- energy of formation from the pure elements (meV per atom) = 326.7
- E (eV per atom) = -10.219

Lattice parameters (Å, degrees): 6.4864 6.4864 4.7548 90.00 90.00 90.00
Space group P4/mbm (No. 127)
Asymmetric unit:
Hf1 0.1631 0.3369 0.0000
Ta1 0.1526 0.6526 0.5000
V1 0.0000 0.0000 0.5000